1.
# ErRh5 | the Alexandria database | GGA-PBEsol | relaxed
# - electronic total energy (eV/atom) = -7.8623
# - M_tot (μB per atom) = 0.000
# - calculated volume (Å³/f.u.) = 97
# - ΔH_f (0 K) (meV per atom) = -259
# - theoretical density (g/cm3) = 11.7
data_ErRh5
_symmetry_space_group_name_H-M 'P 1'
_symmetry_Int_Tables_number 1
_cell_length_a 4.271
_cell_length_b 5.118
_cell_length_c 5.118
_cell_angle_alpha 120.00
_cell_angle_beta 90.00
_cell_angle_gamma 90.00
loop_
_symmetry_equiv_pos_as_xyz
'x,y,z'
loop_
_atom_site_label
_atom_site_fract_x
_atom_site_fract_y
_atom_site_fract_z
Rh1 0.500 0.500 0.000
Rh2 0.500 0.500 0.500
Rh3 0.000 0.667 0.333
Er1 0.000 0.000 0.000
Rh4 0.500 0.000 0.500
Rh5 0.000 0.333 0.667



2.
# CsCo2Au | the Alexandria database | GGA-PBEsol | relaxed
# - electronic total energy (eV/atom) = -3.7491
# - M_tot (μB per atom) = 0.681
# - calculated volume (Å³/f.u.) = 70
# - ΔH_f (0 K) (meV per atom) = 1336
# - theoretical density (g/cm3) = 10.6
data_CsCo2Au
_symmetry_space_group_name_H-M 'P 1'
_symmetry_Int_Tables_number 1
_cell_length_a 4.631
_cell_length_b 4.631
_cell_length_c 4.631
_cell_angle_alpha 60.00
_cell_angle_beta 60.00
_cell_angle_gamma 60.00
loop_
_symmetry_equiv_pos_as_xyz
'x,y,z'
loop_
_atom_site_label
_atom_site_fract_x
_atom_site_fract_y
_atom_site_fract_z
Cs1 0.000 0.000 0.000
Co1 0.250 0.250 0.250
Co2 0.750 0.750 0.750
Au1 0.500 0.500 0.500



3.
# AgMo2As | the Alexandria database | GGA-PBEsol | relaxed
# - electronic total energy (eV/atom) = -7.5312
# - M_tot (μB per atom) = 0.000
# - calculated volume (Å³/f.u.) = 63
# - ΔH_f (0 K) (meV per atom) = 457
# - theoretical density (g/cm3) = 9.9
data_AgMo2As
_symmetry_space_group_name_H-M 'P 1'
_symmetry_Int_Tables_number 1
_cell_length_a 2.779
_cell_length_b 2.779
_cell_length_c 8.602
_cell_angle_alpha 90.00
_cell_angle_beta 90.00
_cell_angle_gamma 108.79
loop_
_symmetry_equiv_pos_as_xyz
'x,y,z'
loop_
_atom_site_label
_atom_site_fract_x
_atom_site_fract_y
_atom_site_fract_z
Mo1 0.000 0.000 0.771
Mo2 0.000 0.000 0.229
Ag1 0.500 0.500 0.500
As1 0.500 0.500 0.000



> What is the formula in the third record?

AgMo2As